Computed, not measured: Ba6TlRh2I3 after structural relaxation at the PBE-GGA level of DFT.

The value obtained for the calculated density is 5.28 g cm⁻³. For the final energy, the calculation gives -42.87 eV/f.u. The calculation puts the size of the total moment at 2.40 μB per cell.

Unit cell a=22.091 b=4.652 c=10.406 alpha=90.00 beta=108.08 gamma=90.00
Space group C2/m (No. 12)
Unique sites:
Ba1 0.024 0.000 0.259 (multiplicity 4)
Ba2 0.167 0.500 0.128 (multiplicity 4)
Ba3 0.181 0.500 0.555 (multiplicity 4)
Tl1 0.000 0.500 0.000 (multiplicity 2)
Rh1 0.167 0.000 0.335 (multiplicity 4)
I1 0.000 0.500 0.500 (multiplicity 2)
I2 0.164 0.000 0.828 (multiplicity 4)